{"formula": "SmNbN2O", "functional": "GGA-PBE", "state": "optimized geometry", "total_energy_ev_per_atom": -9.00, "space_group": "Ima2", "crystal_system": "orthorhombic", "lattice_angstrom": [[-3.927, 2.864, 2.867], [3.927, -2.864, 2.867], [3.927, 2.864, -2.867]], "species": ["Sm", "Sm", "Nb", "Nb", "N", "N", "N", "N", "O", "O"], "fractional_positions": [[0.020, 0.250, 0.270], [0.980, 0.750, 0.730], [0.492, 0.492, 0.000], [0.492, 0.992, 0.500], [0.023, 0.213, 0.691], [0.023, 0.832, 0.310], [0.521, 0.332, 0.309], [0.521, 0.713, 0.690], [0.419, 0.780, 0.139], [0.642, 0.280, 0.861]]}